Record 1
SrZn12Ag6 (PBE-GGA, relaxed); symmetry = R-3m, No. 166; VASP energy = -1.817 eV per atom; ΔE_f = -0.023 eV/atom
1.0
-6.153 3.442 2.018
1.748 -4.075 5.841
5.065 5.303 -0.042
Ag Zn Sr
6 12 1
direct
0.703 0.287 0.287
0.713 0.713 0.297
0.297 0.713 0.713
0.287 0.287 0.703
0.287 0.703 0.287
0.713 0.297 0.713
0.891 0.109 0.500
0.613 0.877 0.613
0.613 0.613 0.877
0.500 0.109 0.891
0.387 0.387 0.123
0.109 0.891 0.500
0.123 0.387 0.387
0.891 0.500 0.109
0.387 0.123 0.387
0.500 0.891 0.109
0.109 0.500 0.891
0.877 0.613 0.613
0.000 0.000 0.000

=====

Record 2
SrZn4Ag12 (PBE-GGA, relaxed); symmetry = Im-3, No. 204; VASP energy = -2.201 eV per atom; ΔE_f = 0.211 eV/atom
1.0
-4.999 -2.275 5.535
2.974 -6.271 -3.554
5.765 4.129 3.243
Ag Zn Sr
12 4 1
direct
0.506 0.158 0.348
0.652 0.810 0.158
0.652 0.494 0.842
0.494 0.842 0.652
0.348 0.506 0.158
0.810 0.158 0.652
0.190 0.842 0.348
0.348 0.190 0.842
0.158 0.652 0.810
0.158 0.348 0.506
0.842 0.652 0.494
0.842 0.348 0.190
0.500 0.000 0.000
0.500 0.500 0.500
0.000 0.000 0.500
0.000 0.500 0.000
0.000 0.000 0.000

=====

Record 3
SrZnAg2 (PBE-GGA, relaxed); symmetry = P-1, No. 2; VASP energy = -2.385 eV per atom; ΔE_f = -0.221 eV/atom
1.0
5.769 0.036 0.006
2.880 5.006 -0.020
2.414 -0.774 6.441
Sr Ag Zn
2 4 2
direct
0.372 0.719 0.259
0.628 0.281 0.741
0.761 0.034 0.179
0.239 0.966 0.821
0.943 0.649 0.826
0.057 0.351 0.174
0.751 0.742 0.507
0.249 0.258 0.493